GGA+U FeBF5, optimized geometry; symmetry = C2/c (15); total magnetic moment = 0.571 μB per atom; raw total energy = -81.1 eV/cell
1.0
5.1951 0.2268 -1.5411
-1.3290 5.0274 -1.5411
-0.0848 -0.1153 7.3887
F B Fe
10 2 2
direct
0.3836 0.2859 0.6192 F
0.2859 0.3836 0.1192 F
0.1813 0.6832 0.3661 F
0.7141 0.6164 0.8808 F
0.0790 0.9210 0.7500 F
0.8187 0.3168 0.6339 F
0.6832 0.1813 0.8661 F
0.9210 0.0790 0.2500 F
0.6164 0.7141 0.3808 F
0.3168 0.8187 0.1339 F
0.3501 0.6499 0.2500 B
0.6499 0.3501 0.7500 B
0.0000 0.0000 0.0000 Fe
0.0000 0.0000 0.5000 Fe